[1]
Crystalline CePm3Ge at its relaxed geometry, computed with PBE.

Results
- SG = No. 119
- mass density (g cm⁻³) = 5.823
- formation enthalpy at 0 K (kJ/mol of formula units) = 83

Unit cell a=11.401 b=11.401 c=11.401 alpha=150.01 beta=150.01 gamma=42.93
Positions (direct):
1 Ce 0.209 0.209 0.000
2 Ce 0.791 0.791 0.000
3 Pm 0.374 0.126 0.752
4 Pm 0.374 0.622 0.248
5 Pm 0.378 0.626 0.752
6 Pm 0.538 0.038 0.500
7 Pm 0.874 0.626 0.248
8 Pm 0.962 0.462 0.500
9 Ge 0.250 0.750 0.500
10 Ge 0.500 0.500 0.000


[2]
Crystalline CePm3Ge2 at its relaxed geometry, computed with PBE.

Results
- SG = No. 115
- mass density (g cm⁻³) = 7.337
- formation enthalpy at 0 K (kJ/mol of formula units) = -336
- distance to the lowest polymorph of the same formula (eV per atom) = 0.0000

Unit cell a=4.415 b=4.415 c=8.363 alpha=90.00 beta=90.00 gamma=90.00
Positions (direct):
1 Ce 0.000 0.000 0.000
2 Pm 0.000 0.500 0.359
3 Pm 0.500 0.000 0.641
4 Pm 0.500 0.500 0.000
5 Ge 0.000 0.500 0.726
6 Ge 0.500 0.000 0.274


[3]
Crystalline CePmGe2 at its relaxed geometry, computed with PBE.

Results
- SG = No. 160
- mass density (g cm⁻³) = 6.461
- formation enthalpy at 0 K (kJ/mol of formula units) = -210

Unit cell a=7.043 b=7.043 c=7.043 alpha=36.49 beta=36.49 gamma=36.49
Positions (direct):
1 Ce 0.000 0.000 0.000
2 Pm 0.828 0.828 0.828
3 Ge 0.416 0.416 0.416
4 Ge 0.583 0.583 0.583


[4]
Crystalline Ce5Pm2Ge5 at its relaxed geometry, computed with PBE.

Results
- SG = No. 12
- mass density (g cm⁻³) = 6.478
- formation enthalpy at 0 K (kJ/mol of formula units) = -654

Unit cell a=7.319 b=7.319 c=12.380 alpha=107.25 beta=107.25 gamma=33.38
Positions (direct):
1 Ce 0.000 0.000 0.000
2 Ce 0.161 0.161 0.551
3 Ce 0.231 0.231 0.845
4 Ce 0.769 0.769 0.155
5 Ce 0.839 0.839 0.449
6 Pm 0.460 0.460 0.717
7 Pm 0.540 0.540 0.283
8 Ge 0.194 0.194 0.297
9 Ge 0.378 0.378 0.068
10 Ge 0.500 0.500 0.500
11 Ge 0.622 0.622 0.932
12 Ge 0.806 0.806 0.703


[5]
Crystalline Ce2Pm3Ge2 at its relaxed geometry, computed with PBE.

Results
- SG = No. 65
- mass density (g cm⁻³) = 7.606
- formation enthalpy at 0 K (kJ/mol of formula units) = -45

Unit cell a=11.965 b=11.965 c=3.284 alpha=90.00 beta=90.00 gamma=156.45
Positions (direct):
1 Ce 0.134 0.866 0.000
2 Ce 0.866 0.134 0.000
3 Pm 0.000 0.000 0.000
4 Pm 0.297 0.703 0.000
5 Pm 0.703 0.297 0.000
6 Ge 0.418 0.582 0.500
7 Ge 0.582 0.418 0.500


[6]
Crystalline CePm5Ge2 at its relaxed geometry, computed with PBE.

Results
- SG = No. 71
- mass density (g cm⁻³) = 7.077
- formation enthalpy at 0 K (kJ/mol of formula units) = -229

Unit cell a=7.639 b=7.639 c=7.639 alpha=145.88 beta=101.76 gamma=88.19
Positions (direct):
1 Ce 0.000 0.000 0.000
2 Pm 0.150 0.343 0.807
3 Pm 0.464 0.657 0.807
4 Pm 0.500 0.000 0.500
5 Pm 0.536 0.343 0.193
6 Pm 0.850 0.657 0.193
7 Ge 0.210 0.710 0.500
8 Ge 0.790 0.290 0.500


[7]
Crystalline CePmGe at its relaxed geometry, computed with PBE.

Results
- SG = No. 139
- mass density (g cm⁻³) = 7.595
- formation enthalpy at 0 K (kJ/mol of formula units) = -192
- distance to the lowest polymorph of the same formula (eV per atom) = 0.0000

Unit cell a=9.051 b=9.051 c=9.051 alpha=152.63 beta=152.63 gamma=39.10
Positions (direct):
1 Ce 0.000 0.500 0.500
2 Ce 0.500 0.000 0.500
3 Pm 0.180 0.180 0.000
4 Pm 0.820 0.820 0.000
5 Ge 0.364 0.364 0.000
6 Ge 0.636 0.636 0.000


[8]
Crystalline CePmGe2 at its relaxed geometry, computed with PBE.

Results
- SG = No. 123
- mass density (g cm⁻³) = 7.560
- formation enthalpy at 0 K (kJ/mol of formula units) = -244

Unit cell a=3.387 b=3.387 c=8.242 alpha=90.00 beta=90.00 gamma=90.00
Positions (direct):
1 Ce 0.000 0.000 0.000
2 Pm 0.000 0.000 0.500
3 Ge 0.500 0.500 0.249
4 Ge 0.500 0.500 0.751


[9]
Crystalline CePmGe3 at its relaxed geometry, computed with PBE.

Results
- SG = No. 63
- mass density (g cm⁻³) = 7.093
- formation enthalpy at 0 K (kJ/mol of formula units) = -325
- distance to the lowest polymorph of the same formula (eV per atom) = 0.0000

Unit cell a=13.619 b=13.619 c=4.072 alpha=90.00 beta=90.00 gamma=161.83
Positions (direct):
1 Ce 0.072 0.928 0.750
2 Ce 0.928 0.072 0.250
3 Pm 0.203 0.797 0.250
4 Pm 0.797 0.203 0.750
5 Ge 0.317 0.683 0.250
6 Ge 0.379 0.621 0.750
7 Ge 0.472 0.528 0.750
8 Ge 0.528 0.472 0.250
9 Ge 0.621 0.379 0.250
10 Ge 0.683 0.317 0.750


[10]
Crystalline Ce3PmGe3 at its relaxed geometry, computed with PBE.

Results
- SG = No. 176
- mass density (g cm⁻³) = 7.115
- formation enthalpy at 0 K (kJ/mol of formula units) = -313

Unit cell a=8.868 b=8.868 c=5.368 alpha=90.00 beta=90.00 gamma=120.00
Positions (direct):
1 Ce 0.001 0.258 0.250
2 Ce 0.257 0.999 0.250
3 Ce 0.258 0.257 0.750
4 Ce 0.742 0.743 0.250
5 Ce 0.743 0.001 0.750
6 Ce 0.999 0.742 0.750
7 Pm 0.333 0.667 0.250
8 Pm 0.667 0.333 0.750
9 Ge 0.054 0.427 0.750
10 Ge 0.373 0.946 0.750
11 Ge 0.427 0.373 0.250
12 Ge 0.573 0.627 0.750
13 Ge 0.627 0.054 0.250
14 Ge 0.946 0.573 0.250


[11]
Crystalline CePmGe3 at its relaxed geometry, computed with PBE.

Results
- SG = No. 63
- mass density (g cm⁻³) = 7.052
- formation enthalpy at 0 K (kJ/mol of formula units) = -305
- distance to the lowest polymorph of the same formula (eV per atom) = 0.0427

Unit cell a=13.555 b=13.555 c=4.117 alpha=90.00 beta=90.00 gamma=161.75
Positions (direct):
1 Ce 0.203 0.797 0.750
2 Ce 0.797 0.203 0.250
3 Pm 0.070 0.930 0.250
4 Pm 0.930 0.070 0.750
5 Ge 0.316 0.684 0.750
6 Ge 0.378 0.622 0.250
7 Ge 0.472 0.528 0.250
8 Ge 0.528 0.472 0.750
9 Ge 0.622 0.378 0.750
10 Ge 0.684 0.316 0.250


[12]
Crystalline Ce3Pm2Ge3 at its relaxed geometry, computed with PBE.

Results
- SG = No. 71
- mass density (g cm⁻³) = 7.469
- formation enthalpy at 0 K (kJ/mol of formula units) = -366

Unit cell a=10.783 b=10.783 c=10.783 alpha=158.07 beta=153.82 gamma=34.41
Positions (direct):
1 Ce 0.000 0.000 0.000
2 Ce 0.391 0.891 0.500
3 Ce 0.609 0.109 0.500
4 Pm 0.234 0.234 0.000
5 Pm 0.766 0.766 0.000
6 Ge 0.128 0.628 0.500
7 Ge 0.500 0.500 0.000
8 Ge 0.872 0.372 0.500


> Among the records above, which one has the lowest formation enthalpy at 0 K?

Ce5Pm2Ge5